Density functional theory data (GGA-PBE) for crystalline Zn2PIr at its relaxed geometry.

Lattice parameters (Å, degrees): 3.8805 3.1285 9.7263 90.00 90.00 90.00
Atoms (fractional coordinates):
1 Zn 0.0000 0.0000 0.0000
2 Zn 0.0000 0.5000 0.5000
3 Zn 0.5000 0.0000 0.3412
4 Zn 0.5000 0.5000 0.8412
5 P 0.0000 0.0000 0.7442
6 P 0.0000 0.5000 0.2442
7 Ir 0.5000 0.0000 0.6094
8 Ir 0.5000 0.5000 0.1094

Values from the calculation:
Total moment (Bohr magnetons per cell): 0.0
Formation energy (kJ/mol of formula units): -45
Energy (eV/atom): -4.32